Record 1
Computed, not measured: AcCuGe2Pt5 after structural relaxation at the PBE level of DFT.

Summary:
DOS at the Fermi energy (states/eV/cell): 3.3
Space group: No. 123
Total magnetic moment (Bohr magnetons per cell): 0.0
Energy of formation from the pure elements (eV/atom): -0.496

POSCAR file:
```
AcCuGe2Pt5
1.0
4.2039 0.0000 0.0000
0.0000 4.2039 0.0000
0.0000 0.0000 10.4240
Ac Pt Cu Ge
1 5 1 2
direct
0.0000 0.0000 0.5000
0.0000 0.5000 0.1446
0.0000 0.5000 0.8554
0.5000 0.0000 0.1446
0.5000 0.5000 0.5000
0.5000 0.0000 0.8554
0.0000 0.0000 0.0000
0.5000 0.5000 0.7347
0.5000 0.5000 0.2653
```

=====

Record 2
Computed, not measured: AcErHgBi after structural relaxation at the PBE level of DFT.

Summary:
DOS at the Fermi energy (states/eV/cell): 4.5
Space group: No. 216
Total magnetic moment (Bohr magnetons per cell): 0.0
Energy of formation from the pure elements (eV/atom): -0.481

POSCAR file:
```
AcErHgBi
1.0
5.6047 0.0000 0.0000
2.8024 4.8538 0.0000
2.8024 1.6179 4.5762
Ac Er Bi Hg
1 1 1 1
direct
0.5000 0.5000 0.5000
0.0000 0.0000 0.0000
0.2500 0.2500 0.2500
0.7500 0.7500 0.7500
```